Entry 1:
## Dy3ScAu2 (PBE)

Data for a relaxed structure of Dy3ScAu2.

Symmetry: Pmc2_1
ΔE_f: -610 meV per atom
Theoretical density: 10.186 g cm⁻³
Size of the total moment: 0.000 μB per atom

Structure (POSCAR):
```
Dy3ScAu2
1.0
4.938 0.000 0.000
0.000 8.925 0.000
0.000 0.000 6.853
Dy Sc Au
6 2 4
Direct
0.000 0.069 0.000
0.000 0.338 0.353
0.000 0.662 0.853
0.000 0.931 0.500
0.500 0.174 0.665
0.500 0.826 0.165
0.500 0.430 0.021
0.500 0.570 0.521
0.000 0.346 0.776
0.000 0.654 0.276
0.500 0.157 0.243
0.500 0.843 0.743
```

***

Entry 2:
## MgPBr2 (PBE)

Data for a relaxed structure of MgPBr2.

E above lowest polymorph: 543.0 meV/atom
Symmetry: I-4m2
Theoretical density: 3.735 g cm⁻³
Size of the total moment: 0.000 μB per atom

Structure (POSCAR):
```
MgPBr2
1.0
-1.942 1.942 6.341
1.942 -1.942 6.341
1.942 1.942 -6.341
Mg P Br
1 1 2
Direct
0.000 0.000 0.000
0.250 0.750 0.500
0.500 0.500 0.000
0.750 0.250 0.500
```

***

Entry 3:
## ThCuRu (PBE)

Data for a relaxed structure of ThCuRu.

E above lowest polymorph: 263.8 meV/atom
Symmetry: I4mm
ΔE_f: -47 meV per atom
Theoretical density: 11.269 g cm⁻³
Size of the total moment: 0.000 μB per atom

Structure (POSCAR):
```
ThCuRu
1.0
-1.799 1.799 4.516
1.799 -1.799 4.516
1.799 1.799 -4.516
Th Cu Ru
1 1 1
Direct
0.000 0.000 0.000
0.686 0.686 0.000
0.324 0.324 0.000
```

***

Entry 4:
## LiTlF2 (PBE)

Data for a relaxed structure of LiTlF2.

E above lowest polymorph: 13.8 meV/atom
Symmetry: I-42d
Theoretical density: 6.253 g cm⁻³
Size of the total moment: 0.000 μB per atom

Structure (POSCAR):
```
LiTlF2
1.0
-2.854 2.854 4.065
2.854 -2.854 4.065
2.854 2.854 -4.065
Li Tl F
2 2 4
Direct
0.000 0.000 0.000
0.750 0.250 0.500
0.250 0.750 0.500
0.500 0.500 0.000
0.009 0.625 0.884
0.375 0.259 0.384
0.741 0.125 0.116
0.875 0.991 0.616
```

***

Entry 5:
## Sc4BI5 (PBE)

Data for a relaxed structure of Sc4BI5.

Symmetry: C2/m
Final energy: -49.73 eV/cell
Theoretical density: 4.148 g cm⁻³
Size of the total moment: 0.000 μB per atom

Structure (POSCAR):
```
Sc4BI5
1.0
10.447 -1.930 0.000
10.447 1.930 0.000
-0.041 0.000 8.192
Sc B I
4 1 5
Direct
0.000 0.000 0.188
0.000 0.000 0.812
0.390 0.390 0.999
0.610 0.610 0.001
0.500 0.500 0.000
0.145 0.145 0.253
0.145 0.145 0.751
0.500 0.500 0.500
0.855 0.855 0.249
0.855 0.855 0.747
```

***

Entry 6:
## Na2AsHF (PBE)

Data for a relaxed structure of Na2AsHF.

Symmetry: P4/mmm
Final energy: -15.45 eV/cell
Theoretical density: 2.867 g cm⁻³
Size of the total moment: 0.000 μB per atom

Structure (POSCAR):
```
Na2AsHF
1.0
5.395 0.000 0.000
0.000 5.395 0.000
0.000 0.000 2.805
Na As H F
2 1 1 1
Direct
0.000 0.500 0.000
0.500 0.000 0.000
0.000 0.000 0.500
0.500 0.500 0.000
0.500 0.500 0.500
```

***

Entry 7:
## ScIn3Fe (PBE)

Data for a relaxed structure of ScIn3Fe.

E above lowest polymorph: 873.5 meV/atom
Symmetry: Pm-3m
ΔE_f: 1098 meV per atom
Theoretical density: 4.434 g cm⁻³
Size of the total moment: 0.578 μB per atom

Structure (POSCAR):
```
ScIn3Fe
1.0
5.504 0.000 0.000
0.000 5.504 0.000
0.000 0.000 5.504
Sc In Fe
1 3 1
Direct
0.000 0.000 0.000
0.000 0.000 0.500
0.000 0.500 0.000
0.500 0.000 0.000
0.500 0.500 0.500
```

***

Entry 8:
## TaReCl (PBE)

Data for a relaxed structure of TaReCl.

E above lowest polymorph: 464.4 meV/atom
Symmetry: Imm2
Theoretical density: 13.409 g cm⁻³
Size of the total moment: 0.000 μB per atom

Structure (POSCAR):
```
TaReCl
1.0
-1.416 2.156 4.082
1.416 -2.156 4.082
1.416 2.156 -4.082
Ta Re Cl
1 1 1
Direct
0.000 0.000 0.000
0.663 0.663 0.000
0.322 0.322 0.000
```

***

Entry 9:
## InGa2Ge2 (PBE)

Data for a relaxed structure of InGa2Ge2.

E above lowest polymorph: 59.0 meV/atom
Symmetry: P4/mbm
ΔE_f: 140 meV per atom
Theoretical density: 6.362 g cm⁻³
Size of the total moment: 0.000 μB per atom

Structure (POSCAR):
```
InGa2Ge2
1.0
8.252 0.000 0.000
0.000 8.252 0.000
0.000 0.000 3.063
In Ga Ge
2 4 4
Direct
0.000 0.000 0.000
0.500 0.500 0.000
0.153 0.347 0.000
0.347 0.847 0.000
0.653 0.153 0.000
0.847 0.653 0.000
0.138 0.638 0.500
0.362 0.138 0.500
0.638 0.862 0.500
0.862 0.362 0.500
```

***

Entry 10:
## Rb2IrBr6F (PBE)

Data for a relaxed structure of Rb2IrBr6F.

Symmetry: I4/mmm
Final energy: -31.36 eV/cell
Theoretical density: 4.760 g cm⁻³
Size of the total moment: 0.200 μB per atom

Structure (POSCAR):
```
Rb2IrBr6F
1.0
-3.698 3.698 5.496
3.698 -3.698 5.496
3.698 3.698 -5.496
Rb Ir Br F
2 1 6 1
Direct
0.250 0.750 0.500
0.750 0.250 0.500
0.000 0.000 0.000
0.227 0.227 0.000
0.240 0.240 0.480
0.240 0.760 0.000
0.760 0.240 0.000
0.760 0.760 0.520
0.773 0.773 0.000
0.500 0.500 0.000
```

***

Entry 11:
## Li2ZnCl4 (PBE)

Data for a relaxed structure of Li2ZnCl4.

E above lowest polymorph: 14.2 meV/atom
Symmetry: Pnma
Theoretical density: 2.477 g cm⁻³
Size of the total moment: 0.000 μB per atom

Structure (POSCAR):
```
Li2ZnCl4
1.0
12.889 0.000 0.000
0.000 7.477 0.000
0.000 0.000 6.153
Li Zn Cl
8 4 16
Direct
0.000 0.000 0.000
0.000 0.500 0.000
0.230 0.250 0.496
0.270 0.750 0.996
0.500 0.000 0.500
0.500 0.500 0.500
0.730 0.250 0.004
0.770 0.750 0.504
0.089 0.750 0.417
0.411 0.250 0.917
0.589 0.750 0.083
0.911 0.250 0.583
0.073 0.250 0.747
0.089 0.750 0.784
0.166 0.508 0.251
0.166 0.992 0.251
0.334 0.008 0.751
0.334 0.492 0.751
0.411 0.250 0.284
0.427 0.750 0.247
0.573 0.250 0.753
0.589 0.750 0.716
0.666 0.508 0.249
0.666 0.992 0.249
0.834 0.008 0.749
0.834 0.492 0.749
0.911 0.250 0.216
0.927 0.750 0.253
```

***

Entry 12:
## Y5Tl2Te (PBE)

Data for a relaxed structure of Y5Tl2Te.

Symmetry: Pbam
Final energy: -89.18 eV/cell
Theoretical density: 6.856 g cm⁻³
Size of the total moment: 0.000 μB per atom

Structure (POSCAR):
```
Y5Tl2Te
1.0
8.471 0.000 0.000
0.000 12.382 0.000
0.000 0.000 4.530
Y Tl Te
10 4 2
Direct
0.000 0.000 0.000
0.160 0.283 0.000
0.209 0.576 0.500
0.291 0.076 0.500
0.340 0.783 0.000
0.500 0.500 0.000
0.660 0.217 0.000
0.709 0.924 0.500
0.791 0.424 0.500
0.840 0.717 0.000
0.073 0.824 0.500
0.427 0.324 0.500
0.573 0.676 0.500
0.927 0.176 0.500
0.000 0.500 0.000
0.500 0.000 0.000
```

***

Entry 13:
## Th3AlIn (PBE)

Data for a relaxed structure of Th3AlIn.

Symmetry: P6_3/mmc
ΔE_f: 77 meV per atom
Theoretical density: 9.214 g cm⁻³
Size of the total moment: 0.000 μB per atom

Structure (POSCAR):
```
Th3AlIn
1.0
7.728 0.000 0.000
-3.864 6.692 0.000
0.000 0.000 5.838
Th Al In
6 2 2
Direct
0.192 0.384 0.250
0.192 0.808 0.250
0.384 0.192 0.750
0.616 0.808 0.250
0.808 0.192 0.750
0.808 0.616 0.750
0.000 0.000 0.000
0.000 0.000 0.500
0.333 0.667 0.750
0.667 0.333 0.250
```

***

Entry 14:
## YMg2In (PBE)

Data for a relaxed structure of YMg2In.

Symmetry: Cm
ΔE_f: -122 meV per atom
Theoretical density: 4.080 g cm⁻³
Size of the total moment: 0.000 μB per atom

Structure (POSCAR):
```
YMg2In
1.0
5.240 -1.704 0.000
5.240 1.704 0.000
-1.232 0.000 5.751
Y Mg In
1 2 1
Direct
0.000 0.000 0.000
0.510 0.510 0.501
0.761 0.761 0.288
0.247 0.247 0.754
```

***

Entry 15:
## NaCa2IrO5 (PBE)

Data for a relaxed structure of NaCa2IrO5.

Symmetry: Immm
Final energy: -55.57 eV/cell
Theoretical density: 5.051 g cm⁻³
Size of the total moment: 0.149 μB per atom

Structure (POSCAR):
```
NaCa2IrO5
1.0
-1.897 2.917 5.575
1.897 -2.917 5.575
1.897 2.917 -5.575
Na Ca Ir O
1 2 1 5
Direct
0.000 0.000 0.000
0.280 0.780 0.500
0.720 0.220 0.500
0.500 0.500 0.000
0.136 0.366 0.769
0.403 0.634 0.769
0.500 0.000 0.500
0.597 0.366 0.231
0.864 0.634 0.231
```

***

Entry 16:
## KNaGa4 (PBE)

Data for a relaxed structure of KNaGa4.

E above lowest polymorph: 0.0 meV/atom
Symmetry: F-43m
ΔE_f: -61 meV per atom
Theoretical density: 4.109 g cm⁻³
Size of the total moment: 0.000 μB per atom

Structure (POSCAR):
```
KNaGa4
1.0
0.000 4.100 4.100
4.100 0.000 4.100
4.100 4.100 0.000
K Na Ga
1 1 4
Direct
0.000 0.000 0.000
0.750 0.750 0.750
0.375 0.375 0.375
0.375 0.375 0.874
0.375 0.874 0.375
0.874 0.375 0.375
```

***

Entry 17:
## KLi3Zr (PBE)

Data for a relaxed structure of KLi3Zr.

E above lowest polymorph: 0.0 meV/atom
Symmetry: Pm-3m
ΔE_f: 911 meV per atom
Theoretical density: 1.332 g cm⁻³
Size of the total moment: 0.849 μB per atom

Structure (POSCAR):
```
KLi3Zr
1.0
5.733 0.000 0.000
0.000 5.733 0.000
0.000 0.000 5.733
K Li Zr
1 3 1
Direct
0.000 0.000 0.000
0.000 0.500 0.500
0.500 0.000 0.500
0.500 0.500 0.000
0.500 0.500 0.500
```

***

Entry 18:
## Ac2Mg6Ni3 (PBE)

Data for a relaxed structure of Ac2Mg6Ni3.

Symmetry: P-62m
ΔE_f: -79 meV per atom
Theoretical density: 5.084 g cm⁻³
Size of the total moment: 0.000 μB per atom

Structure (POSCAR):
```
Ac2Mg6Ni3
1.0
8.358 0.000 0.000
-4.179 7.238 0.000
0.000 0.000 4.189
Ac Mg Ni
2 6 3
Direct
0.333 0.667 0.000
0.667 0.333 0.000
0.000 0.294 0.500
0.000 0.792 0.000
0.208 0.208 0.000
0.294 0.000 0.500
0.706 0.706 0.500
0.792 0.000 0.000
0.000 0.611 0.500
0.389 0.389 0.500
0.611 0.000 0.500
```

***

Entry 19:
## TaPbCl2 (PBE)

Data for a relaxed structure of TaPbCl2.

E above lowest polymorph: 444.3 meV/atom
Symmetry: P4mm
Theoretical density: 8.625 g cm⁻³
Size of the total moment: 0.000 μB per atom

Structure (POSCAR):
```
TaPbCl2
1.0
3.197 0.000 0.000
0.000 3.197 0.000
0.000 0.000 8.645
Ta Pb Cl
1 1 2
Direct
0.000 0.000 0.000
0.500 0.500 0.714
0.000 0.000 0.477
0.500 0.500 0.161
```

***

Entry 20:
## Li4Ac3Sn2 (PBE)

Data for a relaxed structure of Li4Ac3Sn2.

Symmetry: C2/m
ΔE_f: -331 meV per atom
Theoretical density: 6.123 g cm⁻³
Size of the total moment: 0.000 μB per atom

Structure (POSCAR):
```
Li4Ac3Sn2
1.0
5.953 -2.427 0.000
5.953 2.427 0.000
-2.821 0.000 8.880
Li Ac Sn
4 3 2
Direct
0.104 0.104 0.154
0.281 0.281 0.438
0.719 0.719 0.562
0.896 0.896 0.846
0.000 0.000 0.500
0.400 0.400 0.139
0.600 0.600 0.861
0.285 0.285 0.745
0.715 0.715 0.255
```

***

Entry 21:
## CsSe2F (PBE)

Data for a relaxed structure of CsSe2F.

E above lowest polymorph: 284.5 meV/atom
Symmetry: R-3m
Theoretical density: 4.422 g cm⁻³
Size of the total moment: 0.000 μB per atom

Structure (POSCAR):
```
CsSe2F
1.0
2.311 1.334 6.291
-2.311 1.334 6.291
0.000 -2.668 6.291
Cs Se F
1 2 1
Direct
0.000 0.000 0.000
0.179 0.179 0.179
0.821 0.821 0.821
0.500 0.500 0.500
```

***

Entry 22:
## LiTlSb3 (PBE)

Data for a relaxed structure of LiTlSb3.

E above lowest polymorph: 488.4 meV/atom
Symmetry: Pm-3m
Theoretical density: 4.989 g cm⁻³
Size of the total moment: 0.000 μB per atom

Structure (POSCAR):
```
LiTlSb3
1.0
5.768 0.000 0.000
0.000 5.768 0.000
0.000 0.000 5.768
Li Tl Sb
1 1 3
Direct
0.000 0.000 0.000
0.500 0.500 0.500
0.000 0.500 0.500
0.500 0.000 0.500
0.500 0.500 0.000
```

***

Entry 23:
## LiMnRe (PBE)

Data for a relaxed structure of LiMnRe.

E above lowest polymorph: 0.0 meV/atom
Symmetry: P3m1
ΔE_f: 219 meV per atom
Theoretical density: 10.873 g cm⁻³
Size of the total moment: 0.413 μB per atom

Structure (POSCAR):
```
LiMnRe
1.0
4.139 0.000 0.000
-2.069 3.584 0.000
0.000 0.000 2.554
Li Mn Re
1 1 1
Direct
0.000 0.000 0.000
0.667 0.333 0.317
0.333 0.667 0.611
```

***

Entry 24:
## LiPrGa2Pd (PBE)

Data for a relaxed structure of LiPrGa2Pd.

Symmetry: I-4m2
ΔE_f: -583 meV per atom
Theoretical density: 6.630 g cm⁻³
Size of the total moment: 0.000 μB per atom

Structure (POSCAR):
```
LiPrGa2Pd
1.0
-2.093 2.093 5.629
2.093 -2.093 5.629
2.093 2.093 -5.629
Li Pr Ga Pd
1 1 2 1
Direct
0.000 0.000 0.000
0.750 0.250 0.500
0.133 0.633 0.500
0.367 0.867 0.500
0.500 0.500 0.000
```

***

Entry 25:
## PrThBiTe (PBE)

Data for a relaxed structure of PrThBiTe.

E above lowest polymorph: 0.0 meV/atom
Symmetry: P4/mmm
Theoretical density: 8.825 g cm⁻³
Size of the total moment: 0.000 μB per atom

Structure (POSCAR):
```
PrThBiTe
1.0
4.550 0.000 0.000
0.000 4.550 0.000
0.000 0.000 6.448
Pr Th Bi Te
1 1 1 1
Direct
0.000 0.000 0.000
0.500 0.500 0.500
0.500 0.500 0.000
0.000 0.000 0.500
```

***

Number 1: volume 302 Å³ per cell. Number 2: volume 96 Å³ per cell. Number 3: volume 58 Å³ per cell. Number 4: volume 132 Å³ per cell. Number 5: volume 330 Å³ per cell. Number 6: volume 82 Å³ per cell. Number 7: volume 167 Å³ per cell. Number 8: volume 50 Å³ per cell. Number 9: volume 209 Å³ per cell. Number 10: volume 301 Å³ per cell. Number 11: volume 593 Å³ per cell. Number 12: volume 475 Å³ per cell. Number 13: volume 302 Å³ per cell. Number 14: volume 103 Å³ per cell. Number 15: volume 123 Å³ per cell. Number 16: volume 138 Å³ per cell. Number 17: volume 188 Å³ per cell. Number 18: volume 253 Å³ per cell. Number 19: volume 88 Å³ per cell. Number 20: volume 257 Å³ per cell. Number 21: volume 116 Å³ per cell. Number 22: volume 192 Å³ per cell. Number 23: volume 38 Å³ per cell. Number 24: volume 99 Å³ per cell. Number 25: volume 134 Å³ per cell.